# 1
8
Lattice="8.1527 0.0000 0.0000 0.0000 8.2416 0.0000 -0.0113 0.0000 3.8511" Properties=species:S:1:pos:R:3 comment="KSrMn2 | Alexandria via LeMat-Bulk | GGA-PBE | relaxed" e_tot_ev_per_atom=-4.334 volume_a3_per_atom=32.3 ef_kcal_per_mol_atoms=21.81 magnetic_moment_mub_per_fu=8.17 de_polymorph_mev_per_atom=254 pbc="T T T"
K 0.0000 0.0000 0.0000
K 4.0764 4.1208 0.0000
Sr 0.0000 4.1208 0.0000
Sr 4.0764 0.0000 0.0000
Mn 2.0325 2.0604 1.9255
Mn 2.0325 6.1812 1.9255
Mn 6.1089 2.0604 1.9255
Mn 6.1089 6.1812 1.9255



# 2
6
Lattice="0.0000 5.4655 5.4655 5.4655 0.0000 5.4655 5.4655 5.4655 0.0000" Properties=species:S:1:pos:R:3 comment="KSr4Mn | Alexandria via LeMat-Bulk | GGA-PBE | relaxed" e_tot_ev_per_atom=-2.202 volume_a3_per_atom=54.4 ef_kcal_per_mol_atoms=14.53 magnetic_moment_mub_per_fu=4.96 pbc="T T T"
K 0.0000 0.0000 0.0000
Sr 4.1067 4.1067 4.1067
Sr 6.8243 6.8243 4.1067
Sr 6.8243 4.1067 6.8243
Sr 4.1067 6.8243 6.8243
Mn 8.1983 8.1983 8.1983